# 1
This record from the Alexandria database describes an optimized crystal structure of Li3HoTh2Te6. The functional is GGA-PBE.

## Properties
ΔE_f (raw) = -1.142 eV per atom

Unit cell a=7.4700 b=7.4700 c=7.6378 alpha=99.38 beta=99.38 gamma=120.00
Fractional coordinates of all 12 atoms:
1 Li 0.0000 0.0000 0.0000
2 Li 0.3312 0.6688 0.0000
3 Li 0.6688 0.3312 0.0000
4 Ho 0.5000 0.5000 0.5000
5 Th 0.1664 0.8336 0.5000
6 Th 0.8336 0.1664 0.5000
7 Te 0.0854 0.4116 0.2343
8 Te 0.2626 0.2626 0.7654
9 Te 0.4116 0.0854 0.2343
10 Te 0.5884 0.9146 0.7657
11 Te 0.7374 0.7374 0.2346
12 Te 0.9146 0.5884 0.7657


# 2
This record from the Alexandria database describes an optimized crystal structure of GdDyLuPa. The functional is GGA-PBE.

## Properties
E_form = 332.6 meV per atom

Unit cell a=5.5362 b=5.5362 c=5.5362 alpha=60.00 beta=60.00 gamma=60.00
Fractional coordinates of all 4 atoms:
1 Gd 0.0000 0.0000 0.0000
2 Dy 0.5000 0.5000 0.5000
3 Lu 0.7500 0.7500 0.7500
4 Pa 0.2500 0.2500 0.2500


# 3
This record from the Alexandria database describes an optimized crystal structure of NaSrLaCd. The functional is GGA-PBE.

## Properties
E_form = -50.6 meV per atom

Unit cell a=5.7890 b=5.7890 c=5.7890 alpha=60.00 beta=60.00 gamma=60.00
Fractional coordinates of all 4 atoms:
1 Na 0.0000 0.0000 0.0000
2 Sr 0.7500 0.7500 0.7500
3 La 0.2500 0.2500 0.2500
4 Cd 0.5000 0.5000 0.5000


# 4
This record from the Alexandria database describes an optimized crystal structure of Y7Ho2Th. The functional is GGA-PBE.

## Properties
E_form = 30.1 meV per atom

Unit cell a=6.1733 b=6.1856 c=9.4388 alpha=109.06 beta=102.48 gamma=99.70
Fractional coordinates of all 10 atoms:
1 Y 0.0000 0.0000 0.0000
2 Y 0.0982 0.1989 0.6986
3 Y 0.2062 0.4001 0.4010
4 Y 0.3033 0.6061 0.1035
5 Y 0.6967 0.3939 0.8965
6 Y 0.7938 0.5999 0.5990
7 Y 0.9018 0.8011 0.3014
8 Ho 0.4019 0.8044 0.7990
9 Ho 0.5981 0.1956 0.2010
10 Th 0.5000 0.0000 0.5000


# 5
This record from the Alexandria database describes an optimized crystal structure of Nd4Ge2Br. The functional is GGA-PBE.

## Properties
ΔE_f (raw) = -0.876 eV per atom

Unit cell a=7.9217 b=7.9217 c=7.9217 alpha=110.10 beta=110.10 gamma=108.22
Fractional coordinates of all 14 atoms:
1 Nd 0.0002 0.7434 0.1090
2 Nd 0.1087 0.9998 0.7432
3 Nd 0.1156 0.5066 0.7568
4 Nd 0.2566 0.3656 0.2568
5 Nd 0.4934 0.2502 0.6090
6 Nd 0.6344 0.8913 0.8910
7 Nd 0.6413 0.8844 0.3910
8 Nd 0.7498 0.3587 0.2432
9 Ge 0.0012 0.1250 0.3762
10 Ge 0.3750 0.9988 0.1238
11 Ge 0.7488 0.6250 0.6238
12 Ge 0.8750 0.2512 0.8762
13 Br 0.2500 0.7500 0.5000
14 Br 0.5000 0.5000 0.0000


# 6
This record from the Alexandria database describes an optimized crystal structure of RbGaSn. The functional is GGA-PBE.

## Properties
E_form = -21.5 meV per atom

Unit cell a=7.8030 b=7.8030 c=7.8030 alpha=153.66 beta=153.66 gamma=37.59
Fractional coordinates of all 3 atoms:
1 Rb 0.0000 0.0000 0.0000
2 Ga 0.3193 0.3193 0.0000
3 Sn 0.6983 0.6983 0.0000


Number 1: total DFT energy (no corrections) -4.810 eV per atom. Number 2: total DFT energy (no corrections) -7.842 eV per atom. Number 3: total DFT energy (no corrections) -2.261 eV per atom. Number 4: total DFT energy (no corrections) -6.152 eV per atom. Number 5: total DFT energy (no corrections) -5.159 eV per atom. Number 6: total DFT energy (no corrections) -2.687 eV per atom.